Entry 1:
# ZrInP2, relaxed, DFT GGA-PBE
data_ZrInP2
_chemical_formula_sum 'Zr2 In2 P4'
_symmetry_space_group_name_H-M 'I m m 2'
_symmetry_Int_Tables_number 44
_symmetry_space_group_name_Hall 'I 2 -2'
_cell_length_a 3.526
_cell_length_b 3.699
_cell_length_c 12.336
_cell_angle_alpha 90.00
_cell_angle_beta 90.00
_cell_angle_gamma 90.00
loop_
_atom_site_label
_atom_site_fract_x
_atom_site_fract_y
_atom_site_fract_z
Zr1 0.000 0.000 0.000
In1 0.000 0.500 0.756
P1 0.000 0.000 0.567
P2 0.000 0.500 0.339
# **E_form**: -483.4 meV per atom
# **Total energy**: -48.080 eV for the cell shown
# **Spin magnetization**: 0.00 Bohr magnetons per cell

Entry 2:
# ZrIn2P, relaxed, DFT GGA-PBE
data_ZrIn2P
_chemical_formula_sum 'Zr2 In4 P2'
_symmetry_space_group_name_H-M 'I -4 m 2'
_symmetry_Int_Tables_number 119
_symmetry_space_group_name_Hall 'I -4 -2'
_cell_length_a 4.298
_cell_length_b 4.298
_cell_length_c 9.026
_cell_angle_alpha 90.00
_cell_angle_beta 90.00
_cell_angle_gamma 90.00
loop_
_atom_site_label
_atom_site_fract_x
_atom_site_fract_y
_atom_site_fract_z
Zr1 0.000 0.000 0.000
In1 0.000 0.000 0.500
In2 0.000 0.500 0.750
P1 0.000 0.500 0.250
# **E_form**: -122.2 meV per atom
# **Total energy**: -39.848 eV for the cell shown
# **Spin magnetization**: 0.00 Bohr magnetons per cell

Entry 3:
# ZrIn2P, relaxed, DFT GGA-PBE
data_ZrIn2P
_chemical_formula_sum 'Zr1 In2 P1'
_symmetry_space_group_name_H-M 'P 1 2/m 1'
_symmetry_Int_Tables_number 10
_symmetry_space_group_name_Hall '-P 2y'
_cell_length_a 3.123
_cell_length_b 5.244
_cell_length_c 5.398
_cell_angle_alpha 90.00
_cell_angle_beta 104.53
_cell_angle_gamma 90.00
loop_
_atom_site_label
_atom_site_fract_x
_atom_site_fract_y
_atom_site_fract_z
Zr1 0.000 0.000 0.000
In1 0.343 0.500 0.739
P1 0.500 0.000 0.500
# **E_form**: -3.7 meV per atom
# **Total energy**: -19.450 eV for the cell shown
# **Spin magnetization**: 0.00 Bohr magnetons per cell

Entry 4:
# ZrIn2P, relaxed, DFT GGA-PBE
data_ZrIn2P
_chemical_formula_sum 'Zr1 In2 P1'
_symmetry_space_group_name_H-M 'P 4 m m'
_symmetry_Int_Tables_number 99
_symmetry_space_group_name_Hall 'P 4 -2'
_cell_length_a 3.616
_cell_length_b 3.616
_cell_length_c 6.973
_cell_angle_alpha 90.00
_cell_angle_beta 90.00
_cell_angle_gamma 90.00
loop_
_atom_site_label
_atom_site_fract_x
_atom_site_fract_y
_atom_site_fract_z
Zr1 0.000 0.000 0.000
In1 0.000 0.000 0.561
In2 0.500 0.500 0.301
P1 0.500 0.500 0.904
# **E_form**: -394.3 meV per atom
# **Total energy**: -21.012 eV for the cell shown
# **Spin magnetization**: 0.00 Bohr magnetons per cell

Entry 5:
# ZrIn2P, relaxed, DFT GGA-PBE
data_ZrIn2P
_chemical_formula_sum 'Zr2 In4 P2'
_symmetry_space_group_name_H-M 'I 4/m m m'
_symmetry_Int_Tables_number 139
_symmetry_space_group_name_Hall '-I 4 2'
_cell_length_a 4.004
_cell_length_b 4.004
_cell_length_c 10.426
_cell_angle_alpha 90.00
_cell_angle_beta 90.00
_cell_angle_gamma 90.00
loop_
_atom_site_label
_atom_site_fract_x
_atom_site_fract_y
_atom_site_fract_z
Zr1 0.000 0.000 0.000
In1 0.000 0.500 0.250
P1 0.000 0.000 0.500
# **E_form**: -219.2 meV per atom
# **Total energy**: -40.624 eV for the cell shown
# **Spin magnetization**: 0.00 Bohr magnetons per cell

Entry 6:
# ZrIn2P, relaxed, DFT GGA-PBE
data_ZrIn2P
_chemical_formula_sum 'Zr4 In8 P4'
_symmetry_space_group_name_H-M 'I -4 2 d'
_symmetry_Int_Tables_number 122
_symmetry_space_group_name_Hall 'I -4 2bw'
_cell_length_a 8.042
_cell_length_b 8.042
_cell_length_c 5.534
_cell_angle_alpha 90.00
_cell_angle_beta 90.00
_cell_angle_gamma 90.00
loop_
_atom_site_label
_atom_site_fract_x
_atom_site_fract_y
_atom_site_fract_z
Zr1 0.000 0.000 0.000
In1 0.211 0.250 0.625
P1 0.000 0.000 0.500
# **E_form**: 1.0 meV per atom
# **Total energy**: -77.724 eV for the cell shown
# **Spin magnetization**: 0.00 Bohr magnetons per cell

Entry 7:
# ZrInP2, relaxed, DFT GGA-PBE
data_ZrInP2
_chemical_formula_sum 'Zr3 In3 P6'
_symmetry_space_group_name_H-M 'R 3 m'
_symmetry_Int_Tables_number 160
_symmetry_space_group_name_Hall 'R 3 -2"'
_cell_length_a 3.3418
_cell_length_b 3.3418
_cell_length_c 23.7462
_cell_angle_alpha 90.00
_cell_angle_beta 90.00
_cell_angle_gamma 120.00
loop_
_atom_site_label
_atom_site_fract_x
_atom_site_fract_y
_atom_site_fract_z
Zr1 0.0000 0.0000 0.0000
In1 0.0000 0.0000 0.7699
P1 0.0000 0.0000 0.2495
P2 0.0000 0.0000 0.5268
# **E_form**: -73.0 meV per atom
# **Total energy**: -67.195 eV for the cell shown
# **Spin magnetization**: 0.00 Bohr magnetons per cell

Entry 8:
# ZrIn2P, relaxed, DFT GGA-PBE
data_ZrIn2P
_chemical_formula_sum 'Zr2 In4 P2'
_symmetry_space_group_name_H-M 'C m m m'
_symmetry_Int_Tables_number 65
_symmetry_space_group_name_Hall '-C 2 2'
_cell_length_a 5.583
_cell_length_b 8.409
_cell_length_c 3.652
_cell_angle_alpha 90.00
_cell_angle_beta 90.00
_cell_angle_gamma 90.00
loop_
_atom_site_label
_atom_site_fract_x
_atom_site_fract_y
_atom_site_fract_z
Zr1 0.000 0.000 0.000
In1 0.250 0.250 0.500
P1 0.000 0.500 0.000
# **E_form**: -43.0 meV per atom
# **Total energy**: -39.214 eV for the cell shown
# **Spin magnetization**: 0.00 Bohr magnetons per cell

Entry 9:
# ZrInP2, relaxed, DFT GGA-PBE
data_ZrInP2
_chemical_formula_sum 'Zr1 In1 P2'
_symmetry_space_group_name_H-M 'P 4/m m m'
_symmetry_Int_Tables_number 123
_symmetry_space_group_name_Hall '-P 4 2'
_cell_length_a 3.498
_cell_length_b 3.498
_cell_length_c 6.328
_cell_angle_alpha 90.00
_cell_angle_beta 90.00
_cell_angle_gamma 90.00
loop_
_atom_site_label
_atom_site_fract_x
_atom_site_fract_y
_atom_site_fract_z
Zr1 0.000 0.000 0.000
In1 0.000 0.000 0.500
P1 0.500 0.500 0.192
# **E_form**: -522.3 meV per atom
# **Total energy**: -24.196 eV for the cell shown
# **Spin magnetization**: 0.00 Bohr magnetons per cell

Entry 10:
# ZrIn3P, relaxed, DFT GGA-PBE
data_ZrIn3P
_chemical_formula_sum 'Zr1 In3 P1'
_symmetry_space_group_name_H-M 'P m -3 m'
_symmetry_Int_Tables_number 221
_symmetry_space_group_name_Hall '-P 4 2 3'
_cell_length_a 5.591
_cell_length_b 5.591
_cell_length_c 5.591
_cell_angle_alpha 90.00
_cell_angle_beta 90.00
_cell_angle_gamma 90.00
loop_
_atom_site_label
_atom_site_fract_x
_atom_site_fract_y
_atom_site_fract_z
Zr1 0.000 0.000 0.000
In1 0.000 0.000 0.500
P1 0.500 0.500 0.500
# **E_form**: 1027.8 meV per atom
# **Energy above the most stable polymorph in this dataset**: 415 meV per atom
# **Total energy**: -17.035 eV for the cell shown
# **Spin magnetization**: 0.02 Bohr magnetons per cell

Entry 11:
# ZrInP3, relaxed, DFT GGA-PBE
data_ZrInP3
_chemical_formula_sum 'Zr1 In1 P3'
_symmetry_space_group_name_H-M 'P m -3 m'
_symmetry_Int_Tables_number 221
_symmetry_space_group_name_Hall '-P 4 2 3'
_cell_length_a 4.879
_cell_length_b 4.879
_cell_length_c 4.879
_cell_angle_alpha 90.00
_cell_angle_beta 90.00
_cell_angle_gamma 90.00
loop_
_atom_site_label
_atom_site_fract_x
_atom_site_fract_y
_atom_site_fract_z
Zr1 0.000 0.000 0.000
In1 0.500 0.500 0.500
P1 0.000 0.500 0.500
# **E_form**: 970.4 meV per atom
# **Energy above the most stable polymorph in this dataset**: 723 meV per atom
# **Total energy**: -22.664 eV for the cell shown
# **Spin magnetization**: 0.00 Bohr magnetons per cell

Entry 12:
# Zr3InP, relaxed, DFT GGA-PBE
data_Zr3InP
_chemical_formula_sum 'Zr3 In1 P1'
_symmetry_space_group_name_H-M 'P m -3 m'
_symmetry_Int_Tables_number 221
_symmetry_space_group_name_Hall '-P 4 2 3'
_cell_length_a 4.886
_cell_length_b 4.886
_cell_length_c 4.886
_cell_angle_alpha 90.00
_cell_angle_beta 90.00
_cell_angle_gamma 90.00
loop_
_atom_site_label
_atom_site_fract_x
_atom_site_fract_y
_atom_site_fract_z
Zr1 0.000 0.000 0.500
In1 0.500 0.500 0.500
P1 0.000 0.000 0.000
# **E_form**: -442.9 meV per atom
# **Energy above the most stable polymorph in this dataset**: 0 meV per atom
# **Total energy**: -36.007 eV for the cell shown
# **Spin magnetization**: 0.00 Bohr magnetons per cell